FeHgHF6: optimized geometry, PBE+U.

```
FeHgHF6
1.0
4.8172 0.0000 0.0000
-0.0374 5.1227 0.0000
-2.0064 -0.1577 4.8312
Fe Hg H F
1 1 1 6
Direct
0.0000 0.0000 0.0000 Fe
0.6695 0.5330 0.3614 Hg
0.4594 0.2376 0.8153 H
0.0078 0.8081 0.6877 F
0.2908 0.8078 0.2865 F
0.2981 0.2577 0.9420 F
0.6395 0.2304 0.7286 F
0.6786 0.7847 0.9989 F
0.9839 0.2517 0.2819 F
```

Summary:
**SG**: P1 (1)
**VASP energy**: -4.16 eV/atom
**ρ**: 5.173 g/cm3